Rb2CeBeS4 (PBE, relaxed); symmetry = I-4; theoretical density = 3.04 g/cm³; E = -76.0 eV per cell
1.0
7.2052 0.0000 0.0000
0.0000 7.2052 0.0000
0.0000 0.0000 9.4348
Rb Ce Be S
4 2 2 8
Direct
0.0000 0.0000 0.0000 Rb
0.0000 0.5000 0.2500 Rb
0.5000 0.0000 0.7500 Rb
0.5000 0.5000 0.5000 Rb
0.0000 0.5000 0.7500 Ce
0.5000 0.0000 0.2500 Ce
0.0000 0.0000 0.5000 Be
0.5000 0.5000 0.0000 Be
0.1355 0.2158 0.6169 S
0.2158 0.8645 0.3831 S
0.2842 0.6355 0.8831 S
0.3645 0.2842 0.1169 S
0.6355 0.7158 0.1169 S
0.7158 0.3645 0.8831 S
0.7842 0.1355 0.3831 S
0.8645 0.7842 0.6169 S

---

Rb2CeBe2S4 (PBE, relaxed); symmetry = C2/m; theoretical density = 3.52 g/cm³; E = -42.4 eV per cell
1.0
7.5622 -1.8771 0.0000
7.5622 1.8771 0.0000
-3.2576 0.0000 7.5979
Rb Ce Be S
2 1 2 4
Direct
0.1298 0.1298 0.0522 Rb
0.8702 0.8702 0.9478 Rb
0.0000 0.0000 0.5000 Ce
0.3272 0.3272 0.5321 Be
0.6728 0.6728 0.4679 Be
0.2093 0.2093 0.6274 S
0.4634 0.4634 0.7323 S
0.5366 0.5366 0.2677 S
0.7907 0.7907 0.3726 S

---

RbCeBeSe3 (PBE, relaxed); symmetry = P2_1/m; theoretical density = 4.21 g/cm³; E = -58.1 eV per cell
1.0
9.7062 0.0000 0.0000
0.0000 4.1474 0.0000
-2.9942 0.0000 9.2475
Rb Ce Be Se
2 2 2 6
Direct
0.1983 0.2500 0.2333 Rb
0.8017 0.7500 0.7667 Rb
0.3324 0.7500 0.8460 Ce
0.6676 0.2500 0.1540 Ce
0.0752 0.2500 0.6050 Be
0.9248 0.7500 0.3950 Be
0.1129 0.2500 0.8401 Se
0.1609 0.7500 0.5262 Se
0.4568 0.7500 0.1634 Se
0.5432 0.2500 0.8366 Se
0.8391 0.2500 0.4738 Se
0.8871 0.7500 0.1599 Se

---

Rb3Ce3BeSe8 (PBE, relaxed); symmetry = C2/m; theoretical density = 4.37 g/cm³; E = -72.9 eV per cell
1.0
7.0368 -4.4371 0.0000
7.0368 4.4371 0.0000
-4.3889 0.0000 8.0095
Rb Ce Be Se
3 3 1 8
Direct
0.0000 0.0000 0.0000 Rb
0.0000 0.5000 0.0000 Rb
0.5000 0.0000 0.0000 Rb
0.0000 0.5000 0.5000 Ce
0.5000 0.0000 0.5000 Ce
0.5000 0.5000 0.5000 Ce
0.0000 0.0000 0.5000 Be
0.1752 0.1752 0.6507 Se
0.2508 0.6985 0.7058 Se
0.2653 0.2653 0.2999 Se
0.3015 0.7492 0.2942 Se
0.6985 0.2508 0.7058 Se
0.7347 0.7347 0.7001 Se
0.7492 0.3015 0.2942 Se
0.8248 0.8248 0.3493 Se

---

Rb4Ce3BeSe8 (PBE, relaxed); symmetry = C2/m; theoretical density = 4.60 g/cm³; E = -75.2 eV per cell
1.0
7.5411 -4.2133 0.0000
7.5411 4.2133 0.0000
-4.9278 0.0000 7.9659
Rb Ce Be Se
4 3 1 8
Direct
0.0000 0.0000 0.0000 Rb
0.0000 0.5000 0.0000 Rb
0.5000 0.0000 0.0000 Rb
0.5000 0.5000 0.0000 Rb
0.0000 0.0000 0.5000 Ce
0.0000 0.5000 0.5000 Ce
0.5000 0.0000 0.5000 Ce
0.5000 0.5000 0.5000 Be
0.2314 0.2314 0.7021 Se
0.2534 0.2534 0.2908 Se
0.2638 0.7002 0.6735 Se
0.2998 0.7362 0.3265 Se
0.7002 0.2638 0.6735 Se
0.7362 0.2998 0.3265 Se
0.7466 0.7466 0.7092 Se
0.7686 0.7686 0.2979 Se

---

RbCeBeSe4 (PBE, relaxed); symmetry = P2_1/m; theoretical density = 4.69 g/cm³; E = -66.2 eV per cell
1.0
7.1391 0.0000 0.0000
0.0000 5.7590 0.0000
-2.4205 0.0000 9.4791
Rb Ce Be Se
2 2 2 8
Direct
0.2463 0.2500 0.4576 Rb
0.7537 0.7500 0.5424 Rb
0.2359 0.2500 0.9453 Ce
0.7641 0.7500 0.0547 Ce
0.2365 0.7500 0.1645 Be
0.7635 0.2500 0.8355 Be
0.0506 0.7500 0.3102 Se
0.0990 0.7500 0.9343 Se
0.4925 0.0028 0.2042 Se
0.4925 0.4972 0.2042 Se
0.5075 0.5028 0.7958 Se
0.5075 0.9972 0.7958 Se
0.9010 0.2500 0.0657 Se
0.9494 0.2500 0.6898 Se

---

CeBe17Re (PBE, relaxed); symmetry = R3m; theoretical density = 4.47 g/cm³; energy of formation from the pure elements = -2.7 kJ per mole of atoms
1.0
3.7549 2.1679 3.6485
-3.7549 2.1679 3.6485
0.0000 -4.3357 3.6485
Ce Be Re
1 17 1
Direct
0.0000 0.0000 0.0000 Ce
0.0459 0.3474 0.6258 Be
0.0459 0.6258 0.3474 Be
0.1921 0.6784 0.6785 Be
0.2498 0.2498 0.2498 Be
0.3409 0.3409 0.8400 Be
0.3409 0.8400 0.3409 Be
0.3474 0.0459 0.6258 Be
0.3474 0.6258 0.0459 Be
0.4421 0.4421 0.4421 Be
0.5038 0.9908 0.9908 Be
0.6258 0.0459 0.3474 Be
0.6258 0.3474 0.0459 Be
0.6785 0.1921 0.6785 Be
0.6785 0.6785 0.1921 Be
0.8400 0.3409 0.3409 Be
0.9908 0.5038 0.9908 Be
0.9908 0.9908 0.5038 Be
0.6706 0.6706 0.6706 Re

---

CeBeRe (PBE, relaxed); symmetry = Cmcm; theoretical density = 10.87 g/cm³; energy of formation from the pure elements = 27.0 kJ per mole of atoms
1.0
4.4137 0.0000 0.0000
0.0000 14.5509 0.0000
0.0000 0.0000 3.1896
Ce Be Re
4 4 4
Direct
0.0000 0.1067 0.2500 Ce
0.0000 0.8933 0.7500 Ce
0.5000 0.3933 0.7500 Ce
0.5000 0.6067 0.2500 Ce
0.0000 0.4486 0.2500 Be
0.0000 0.5514 0.7500 Be
0.5000 0.0514 0.7500 Be
0.5000 0.9486 0.2500 Be
0.0000 0.2801 0.2500 Re
0.0000 0.7199 0.7500 Re
0.5000 0.2199 0.7500 Re
0.5000 0.7801 0.2500 Re